Material: LiCu3OsS4
Method: DFT, PBE
State: optimized geometry

Summary:
calculated total energy: -41.99 eV per cell

abc: 5.464 5.464 5.464
angles: 90.00 90.00 90.00
Site moments in Bohr magnetons follow the coordinates.
Fractional coordinates of all 9 atoms:
S (0.747, 0.747, 0.253)  0.15
S (0.253, 0.253, 0.253)  0.18
S (0.253, 0.747, 0.747)  0.16
S (0.747, 0.253, 0.747)  0.15
Cu (0.000, 0.500, 0.500)  0.16
Cu (0.500, 0.000, 0.500)  0.17
Cu (0.500, 0.500, 0.000)  0.21
Os (0.500, 0.500, 0.500)  1.71
Li (0.000, 0.000, 0.000)  0.04